Entry from the Alexandria database: a relaxed structure of AcCd4Hg4 (GGA-PBE).

Computed properties:
Relative energy among the computed polymorphs: 0.000 eV/atom
DOS at the Fermi energy: 0.458 states/eV/atom
Raw total energy: -0.042 hartree per atom
DFT formation energy: -0.158 eV/atom
Symmetry: I4/mmm (139)

Lattice parameters (Å, degrees): 7.573 7.573 7.573 95.07 95.07 145.40
Atoms (fractional coordinates):
Ac1 0.000 0.000 0.000
Cd1 0.000 0.344 0.344
Cd2 0.000 0.656 0.656
Cd3 0.344 0.000 0.344
Cd4 0.656 0.000 0.656
Hg1 0.324 0.324 0.649
Hg2 0.324 0.676 0.000
Hg3 0.676 0.324 0.000
Hg4 0.676 0.676 0.351

=====

Entry from the Alexandria database: a relaxed structure of AcCd6Hg (GGA-PBE).

Computed properties:
Relative energy among the computed polymorphs: 0.068 eV/atom
DOS at the Fermi energy: 0.641 states/eV/atom
Raw total energy: -0.049 hartree per atom
DFT formation energy: -0.085 eV/atom
Symmetry: P6/mmm (191)

Lattice parameters (Å, degrees): 6.064 6.064 6.806 90.00 90.00 120.00
Atoms (fractional coordinates):
Ac1 0.000 0.000 0.000
Cd1 0.000 0.500 0.263
Cd2 0.000 0.500 0.737
Cd3 0.500 0.000 0.263
Cd4 0.500 0.000 0.737
Cd5 0.500 0.500 0.263
Cd6 0.500 0.500 0.737
Hg1 0.000 0.000 0.500

=====

Entry from the Alexandria database: a relaxed structure of Ac4Cd3Hg (GGA-PBE).

Computed properties:
Relative energy among the computed polymorphs: 0.000 eV/atom
DOS at the Fermi energy: 1.443 states/eV/atom
Raw total energy: -0.102 hartree per atom
DFT formation energy: -0.336 eV/atom
Symmetry: P4/mmm (123)

Lattice parameters (Å, degrees): 4.068 4.068 16.283 90.00 90.00 90.00
Atoms (fractional coordinates):
Ac1 0.000 0.000 0.124
Ac2 0.000 0.000 0.374
Ac3 0.000 0.000 0.626
Ac4 0.000 0.000 0.876
Cd1 0.500 0.500 0.250
Cd2 0.500 0.500 0.500
Cd3 0.500 0.500 0.750
Hg1 0.500 0.500 0.000

=====

Entry from the Alexandria database: a relaxed structure of AcCd6Hg (GGA-PBE).

Computed properties:
Relative energy among the computed polymorphs: 0.000 eV/atom
DOS at the Fermi energy: 0.422 states/eV/atom
Raw total energy: -0.051 hartree per atom
DFT formation energy: -0.153 eV/atom
Symmetry: P4/mmm (123)

Lattice parameters (Å, degrees): 4.760 4.760 9.448 90.00 90.00 90.00
Atoms (fractional coordinates):
Ac1 0.000 0.000 0.000
Cd1 0.000 0.500 0.321
Cd2 0.000 0.500 0.679
Cd3 0.500 0.000 0.321
Cd4 0.500 0.000 0.679
Cd5 0.500 0.500 0.145
Cd6 0.500 0.500 0.855
Hg1 0.000 0.000 0.500

=====

Question: Which value of DFT formation energy does entry 2 give?
Answer: -0.085 eV/atom

=====

Question: Number 3 is which compound?
Answer: Ac4Cd3Hg